No. 1
# YAsOs2, optimized geometry, DFT GGA-PBE
data_YAsOs2
_chemical_formula_sum 'Y1 As1 Os2'
_cell_length_a 5.2279
_cell_length_b 5.2279
_cell_length_c 5.1586
_cell_angle_alpha 110.69
_cell_angle_beta 110.69
_cell_angle_gamma 34.33
_symmetry_space_group_name_H-M 'P 1'
_symmetry_Int_Tables_number 1
loop_
_symmetry_equiv_pos_as_xyz
'x,y,z'
loop_
_atom_site_label
_atom_site_type_symbol
_atom_site_fract_x
_atom_site_fract_y
_atom_site_fract_z
Y1 Y 0.0000 0.0000 0.0000
As1 As 0.7883 0.7883 0.2868
Os1 Os 0.2304 0.2304 0.6094
Os2 Os 0.5078 0.5078 0.5258
# Symmetry: Cm (8)
# DFT formation energy, kJ/mol of formula units: -4
# Density, g/cm³: 12.2
# Uncorrected energy, eV/cell: -33.62

---

No. 2
# Er4Tm9Hg11, optimized geometry, DFT GGA-PBE
data_Er4Tm9Hg11
_chemical_formula_sum 'Er4 Tm9 Hg11'
_cell_length_a 13.5321
_cell_length_b 13.5321
_cell_length_c 3.5235
_cell_angle_alpha 90.00
_cell_angle_beta 90.00
_cell_angle_gamma 109.28
_symmetry_space_group_name_H-M 'P 1'
_symmetry_Int_Tables_number 1
loop_
_symmetry_equiv_pos_as_xyz
'x,y,z'
loop_
_atom_site_label
_atom_site_type_symbol
_atom_site_fract_x
_atom_site_fract_y
_atom_site_fract_z
Er1 Er 0.0782 0.2480 0.0000
Er2 Er 0.2480 0.0782 0.0000
Er3 Er 0.7520 0.9218 0.0000
Er4 Er 0.9218 0.7520 0.0000
Tm1 Tm 0.0000 0.0000 0.0000
Tm2 Tm 0.1206 0.6487 0.0000
Tm3 Tm 0.2967 0.4776 0.0000
Tm4 Tm 0.3513 0.8794 0.0000
Tm5 Tm 0.4776 0.2967 0.0000
Tm6 Tm 0.5224 0.7033 0.0000
Tm7 Tm 0.6487 0.1206 0.0000
Tm8 Tm 0.7033 0.5224 0.0000
Tm9 Tm 0.8794 0.3513 0.0000
Hg1 Hg 0.0885 0.4447 0.5000
Hg2 Hg 0.1290 0.8710 0.5000
Hg3 Hg 0.2792 0.2792 0.5000
Hg4 Hg 0.3216 0.6784 0.5000
Hg5 Hg 0.4447 0.0885 0.5000
Hg6 Hg 0.5000 0.5000 0.5000
Hg7 Hg 0.5553 0.9115 0.5000
Hg8 Hg 0.6784 0.3216 0.5000
Hg9 Hg 0.7208 0.7208 0.5000
Hg10 Hg 0.8710 0.1290 0.5000
Hg11 Hg 0.9115 0.5553 0.5000
# Symmetry: Cmmm (65)
# DFT formation energy, kJ/mol of formula units: -836
# Density, g/cm³: 12.0
# Uncorrected energy, eV/cell: -70.48